A plane-wave DFT calculation with PBE-GGA was carried out for a relaxed La3TlRu crystal.

Structure (CIF):
```
data_La3TlRu
_cell_length_a 5.994
_cell_length_b 5.994
_cell_length_c 23.118
_cell_angle_alpha 90.00
_cell_angle_beta 90.00
_cell_angle_gamma 90.00
_space_group_name_H-M_alt 'I -4 m 2'
_space_group_IT_number 119
_space_group_name_Hall 'I -4 -2'
loop_
_atom_site_label
_atom_site_fract_x
_atom_site_fract_y
_atom_site_fract_z
La1 0.000 0.000 0.211
La2 0.000 0.236 0.629
Tl1 0.000 0.000 0.500
Tl2 0.000 0.500 0.750
Ru1 0.000 0.500 0.199
```

Values from the calculation:
- Energy above the most stable polymorph in this dataset: 0.904 eV/atom
- ΔE_f: 49.7 kJ/mol of atoms
- Total DFT energy (no corrections): -95.4 eV per cell

A plane-wave DFT calculation with PBE-GGA was carried out for a relaxed PrTlGe2Cl8 crystal.

Structure (CIF):
```
data_PrTlGe2Cl8
_cell_length_a 6.410
_cell_length_b 6.931
_cell_length_c 9.173
_cell_angle_alpha 86.42
_cell_angle_beta 88.20
_cell_angle_gamma 86.31
_space_group_name_H-M_alt 'P -1'
_space_group_IT_number 2
loop_
_space_group_symop_operation_xyz
'x,y,z'
'-x,-y,-z'
loop_
_atom_site_label
_atom_site_fract_x
_atom_site_fract_y
_atom_site_fract_z
Pr1 0.000 0.000 0.000
Tl1 0.000 0.000 0.500
Ge1 0.463 0.460 0.760
Cl1 0.221 0.809 0.785
Cl2 0.251 0.323 0.963
Cl3 0.267 0.855 0.219
Cl4 0.275 0.359 0.572
```

Values from the calculation:
- Total DFT energy (no corrections): -46.9 eV per cell
- ΔE_f (raw): -1.31 eV per atom

A plane-wave DFT calculation with PBE-GGA was carried out for a relaxed AlIr2AuI crystal.

Structure (CIF):
```
data_AlIr2AuI
_cell_length_a 4.658
_cell_length_b 4.658
_cell_length_c 4.746
_cell_angle_alpha 90.00
_cell_angle_beta 90.00
_cell_angle_gamma 90.00
_space_group_name_H-M_alt 'P 4/m m m'
_space_group_IT_number 123
_space_group_name_Hall '-P 4 2'
loop_
_atom_site_label
_atom_site_fract_x
_atom_site_fract_y
_atom_site_fract_z
Al1 0.000 0.000 0.000
Ir1 0.000 0.500 0.000
Au1 0.000 0.000 0.500
I1 0.500 0.500 0.500
```

Values from the calculation:
- Total DFT energy (no corrections): -21.3 eV per cell
- ΔE_f (raw): 0.99 eV per atom

A plane-wave DFT calculation with PBE-GGA was carried out for a relaxed Sm2Er7Tm3 crystal.

Structure (CIF):
```
data_Sm2Er7Tm3
_cell_length_a 5.629
_cell_length_b 37.256
_cell_length_c 3.574
_cell_angle_alpha 90.00
_cell_angle_beta 90.00
_cell_angle_gamma 90.00
_space_group_name_H-M_alt 'C m m m'
_space_group_IT_number 65
_space_group_name_Hall '-C 2 2'
loop_
_atom_site_label
_atom_site_fract_x
_atom_site_fract_y
_atom_site_fract_z
Sm1 0.000 0.147 0.000
Er1 0.000 0.000 0.000
Er2 0.000 0.071 0.500
Er3 0.000 0.231 0.000
Er4 0.000 0.410 0.000
Tm1 0.000 0.314 0.500
Tm2 0.000 0.500 0.500
```

Values from the calculation:
- Energy above the most stable polymorph in this dataset: 0.037 eV/atom
- ΔE_f: 11.4 kJ/mol of atoms
- Total DFT energy (no corrections): -106.8 eV per cell